# 1
SrGdZn2Si2 PBE relaxed; total moment = 0.008 μB per atom; raw total energy = -3.818 eV/atom
1.0
4.194 0.000 0.000
-2.097 3.632 0.000
0.000 0.000 8.640
Gd Si Sr Zn
1 2 1 2
Direct
0.000 0.000 0.500
0.333 0.667 0.272
0.667 0.333 0.728
0.000 0.000 0.000
0.667 0.333 0.274
0.333 0.667 0.726

# 2
GdTmTa2Si2 PBE relaxed; total moment = 0.165 μB per atom; raw total energy = -7.875 eV/atom
1.0
3.995 0.000 0.000
0.000 3.995 0.000
0.000 0.000 7.746
Gd Si Ta Tm
1 2 2 1
Direct
0.000 0.000 0.356
0.500 0.500 0.239
0.000 0.000 0.758
0.500 0.000 0.999
0.000 0.500 0.999
0.500 0.500 0.650

# 3
GdYTa2Si2 PBE relaxed; total moment = 0.172 μB per atom; raw total energy = -8.215 eV/atom
1.0
4.009 0.000 0.000
0.000 4.009 0.000
0.000 0.000 7.810
Gd Si Ta Y
1 2 2 1
Direct
0.500 0.500 0.647
0.500 0.500 0.237
0.000 0.000 0.764
0.500 0.000 0.000
0.000 0.500 0.000
0.000 0.000 0.352

# 4
TbGd3Si4 PBE relaxed; total moment = 0.001 μB per atom; raw total energy = -5.863 eV/atom
1.0
-2.647 1.697 -4.817
2.604 -1.919 -2.106
-4.613 -6.526 0.243
Gd Si Tb
3 4 1
Direct
0.385 0.500 0.179
0.885 0.000 0.321
0.115 0.500 0.679
0.872 0.500 0.037
0.373 0.000 0.463
0.627 0.500 0.538
0.127 0.000 0.962
0.615 0.000 0.821

# 5
Gd4SiTc3 PBE relaxed; total moment = 0.309 μB per atom; raw total energy = -6.279 eV/atom
1.0
-0.568 -6.488 -2.617
-3.022 -4.182 4.758
-1.854 6.261 -2.574
Gd Si Tc
4 1 3
Direct
0.246 0.246 0.000
0.754 0.754 0.000
0.500 0.000 0.500
0.000 0.500 0.500
0.000 0.000 0.000
0.500 0.500 0.000
0.750 0.250 0.500
0.250 0.750 0.500

# 6
GdSi4Te3 PBE relaxed; total moment = 0.001 μB per atom; raw total energy = -4.233 eV/atom
1.0
5.874 0.000 0.000
0.000 5.874 0.000
0.000 0.000 5.874
Gd Si Te
1 4 3
Direct
0.000 0.000 0.000
0.500 0.000 0.000
0.000 0.500 0.000
0.000 0.000 0.500
0.500 0.500 0.500
0.500 0.500 0.000
0.500 0.000 0.500
0.000 0.500 0.500

# 7
Gd4SiTe3 PBE relaxed; total moment = 0.000 μB per atom; raw total energy = -5.434 eV/atom
1.0
4.618 -5.976 0.285
-2.516 -4.968 5.110
-3.403 3.508 -5.765
Gd Si Te
4 1 3
Direct
0.229 0.229 0.000
0.771 0.771 0.000
0.500 0.000 0.500
0.000 0.500 0.500
0.000 0.000 0.000
0.500 0.500 0.000
0.750 0.250 0.500
0.250 0.750 0.500

# 8
GdThSi PBE relaxed; total moment = 0.004 μB per atom; raw total energy = -6.167 eV/atom
1.0
0.000 3.483 3.483
3.483 0.000 3.483
3.483 3.483 0.000
Gd Si Th
1 1 1
Direct
0.250 0.250 0.250
0.000 0.000 0.000
0.750 0.750 0.750

# 9
GdTlSi PBE relaxed; E above lowest polymorph = 0.112 eV/atom; total moment = 0.000 μB per atom
1.0
-2.731 -4.054 0.770
-4.033 -0.824 -2.745
-0.013 -3.646 -3.345
Gd Si Tl
1 1 1
Direct
0.000 0.000 0.000
0.250 0.250 0.250
0.750 0.750 0.750

# 10
GdTlSi PBE relaxed; E above lowest polymorph = 0.000 eV/atom; total moment = 0.004 μB per atom
1.0
0.000 3.410 3.410
3.410 0.000 3.410
3.410 3.410 0.000
Gd Si Tl
1 1 1
Direct
0.250 0.250 0.250
0.000 0.000 0.000
0.750 0.750 0.750

# 11
GdSi2W2 PBE relaxed; total moment = 0.000 μB per atom; raw total energy = -8.495 eV/atom
1.0
4.582 -7.165 6.488
-0.493 -5.359 9.245
-3.574 4.040 -9.237
Gd Si W
2 4 4
Direct
0.415 0.165 0.250
0.585 0.835 0.750
0.858 0.608 0.250
0.975 0.725 0.250
0.025 0.275 0.750
0.142 0.392 0.750
0.711 0.461 0.250
0.211 0.961 0.250
0.789 0.039 0.750
0.289 0.539 0.750

# 12
GdSiW PBE relaxed; total moment = 0.146 μB per atom; raw total energy = -7.391 eV/atom
1.0
-0.529 -3.490 -2.750
-3.871 -2.244 -0.047
-2.732 0.326 -3.529
Gd Si W
1 1 1
Direct
0.250 0.250 0.250
0.000 0.000 0.000
0.750 0.750 0.750

> What is the total moment in the eleventh record?

0.000 μB per atom

> Which formula does entry 8 have?

GdThSi

> What is the formula in the ninth record?

GdTlSi